VASP calculation (PBE) on a relaxed K2ZnTc crystal.

Cell lengths 3.5680, 3.5680, 10.1709 Å; angles 90.00, 90.00, 90.00 degrees
Last column: nearest neighbours and their distance in Å.
Space group P4mm (No. 99)
Symmetry-distinct sites (fractional):
K1 0.0000 0.0000 0.0000 x1  1 Tc 3.22, 4 K 3.57
K2 0.5000 0.5000 0.4197 x1  1 Zn 3.24, 4 K 3.57
Zn1 0.5000 0.5000 0.7386 x1  4 Tc 2.58
Tc1 0.0000 0.0000 0.6835 x1  4 Zn 2.58

Output
Fermi-level density of states in states/eV/cell: 4.69
Total magnetic moment in μB/f.u.: 1.85
Formation energy from the elements in kJ/mol of formula units: 259
Crystal system: tetragonal